(1)
LiDy3Hg2: relaxed, GGA-PBE.

Cell: 5.135 3.780 8.278 Å, 90.00 107.98 90.00°
Element x y z (fractional)
1 Li 0.000 0.000 0.000
2 Dy 0.169 0.500 0.339
3 Dy 0.500 0.500 0.000
4 Dy 0.831 0.500 0.661
5 Hg 0.344 0.000 0.689
6 Hg 0.656 0.000 0.311

Properties
Crystal system = monoclinic
DFT total energy = -3.0372 eV per atom
E above lowest polymorph = 0 meV/atom
Total magnetization = 0.0 μB/f.u.
ΔE_f = -0.32 eV/atom
Space-group type = P2/m, No. 10

***

(2)
Li2DyHg4: relaxed, GGA-PBE.

Cell: 8.588 8.588 8.588 Å, 31.95 31.95 31.95°
Element x y z (fractional)
1 Li 0.245 0.245 0.245
2 Li 0.755 0.755 0.755
3 Dy 0.000 0.000 0.000
4 Hg 0.130 0.130 0.130
5 Hg 0.396 0.396 0.396
6 Hg 0.604 0.604 0.604
7 Hg 0.870 0.870 0.870

Properties
Crystal system = trigonal
DFT total energy = -1.6646 eV per atom
Total magnetization = 0.0 μB/f.u.
ΔE_f = -0.29 eV/atom
Space-group type = R-3m, No. 166

***

(3)
Li2DyHg: relaxed, GGA-PBE.

Cell: 4.726 5.629 6.703 Å, 90.00 90.00 90.00°
Element x y z (fractional)
1 Li 0.250 0.006 0.107
2 Li 0.250 0.494 0.107
3 Li 0.750 0.506 0.893
4 Li 0.750 0.994 0.893
5 Dy 0.250 0.250 0.567
6 Dy 0.750 0.750 0.433
7 Hg 0.250 0.750 0.744
8 Hg 0.750 0.250 0.256

Properties
Crystal system = orthorhombic
DFT total energy = -2.4134 eV per atom
E above lowest polymorph = 0 meV/atom
Total magnetization = 0.0 μB/f.u.
ΔE_f = -0.23 eV/atom
Space-group type = Pmmn, No. 59

***

(4)
Li4Dy5Hg4: relaxed, GGA-PBE.

Cell: 8.405 8.405 8.405 Å, 94.71 94.71 146.70°
Element x y z (fractional)
1 Li 0.074 0.397 0.471
2 Li 0.397 0.926 0.322
3 Li 0.603 0.074 0.678
4 Li 0.926 0.603 0.529
5 Dy 0.124 0.802 0.926
6 Dy 0.198 0.124 0.322
7 Dy 0.500 0.500 0.000
8 Dy 0.802 0.876 0.678
9 Dy 0.876 0.198 0.074
10 Hg 0.243 0.561 0.804
11 Hg 0.439 0.243 0.681
12 Hg 0.561 0.757 0.319
13 Hg 0.757 0.439 0.196

Properties
Crystal system = tetragonal
DFT total energy = -2.7562 eV per atom
Total magnetization = 0.0 μB/f.u.
ΔE_f = -0.30 eV/atom
Space-group type = I4/m, No. 87

***

Copy entry 1 word for word.
LiDy3Hg2: relaxed, GGA-PBE.

Cell: 5.135 3.780 8.278 Å, 90.00 107.98 90.00°
Element x y z (fractional)
1 Li 0.000 0.000 0.000
2 Dy 0.169 0.500 0.339
3 Dy 0.500 0.500 0.000
4 Dy 0.831 0.500 0.661
5 Hg 0.344 0.000 0.689
6 Hg 0.656 0.000 0.311

Properties
Crystal system = monoclinic
DFT total energy = -3.0372 eV per atom
E above lowest polymorph = 0 meV/atom
Total magnetization = 0.0 μB/f.u.
ΔE_f = -0.32 eV/atom
Space-group type = P2/m, No. 10

***

Copy entry 2 word for word.
Li2DyHg4: relaxed, GGA-PBE.

Cell: 8.588 8.588 8.588 Å, 31.95 31.95 31.95°
Element x y z (fractional)
1 Li 0.245 0.245 0.245
2 Li 0.755 0.755 0.755
3 Dy 0.000 0.000 0.000
4 Hg 0.130 0.130 0.130
5 Hg 0.396 0.396 0.396
6 Hg 0.604 0.604 0.604
7 Hg 0.870 0.870 0.870

Properties
Crystal system = trigonal
DFT total energy = -1.6646 eV per atom
Total magnetization = 0.0 μB/f.u.
ΔE_f = -0.29 eV/atom
Space-group type = R-3m, No. 166

***

Which value of ΔE_f does entry 1 give?
-0.32 eV/atom

***

Repeat the first record exactly.
LiDy3Hg2: relaxed, GGA-PBE.

Cell: 5.135 3.780 8.278 Å, 90.00 107.98 90.00°
Element x y z (fractional)
1 Li 0.000 0.000 0.000
2 Dy 0.169 0.500 0.339
3 Dy 0.500 0.500 0.000
4 Dy 0.831 0.500 0.661
5 Hg 0.344 0.000 0.689
6 Hg 0.656 0.000 0.311

Properties
Crystal system = monoclinic
DFT total energy = -3.0372 eV per atom
E above lowest polymorph = 0 meV/atom
Total magnetization = 0.0 μB/f.u.
ΔE_f = -0.32 eV/atom
Space-group type = P2/m, No. 10